1.
A crystal of Ca2AgTe relaxed with PBEsol, computed with meta-GGA SCAN.

Output
Total magnetization: 0.00 μB per cell
V: 118.8 Å³ per cell
Space group: No. 166
Final energy: -91.579 eV per cell

extended XYZ file:
```
4
Lattice="-0.1474 2.5087 -3.6127 -3.5370 2.4913 -0.8061 1.7196 7.0144 2.1203" Properties=species:S:1:pos:R:3 pbc="T T T"
Ag 0.0000 0.0000 0.0000
Ca -1.4464 9.0602 -1.6907
Ca -0.5185 2.9541 -0.6079
Te -0.9824 6.0072 -1.1493
```

=====

2.
A crystal of CaZn2AgF relaxed with PBEsol, computed with meta-GGA SCAN.

Output
Total magnetization: 0.00 μB per cell
V: 131.3 Å³ per cell
Space group: No. 123
Final energy: -73.548 eV per cell

extended XYZ file:
```
5
Lattice="-3.3170 2.3769 0.1552 -0.9583 -1.6852 5.3297 3.1662 4.2927 1.9266" Properties=species:S:1:pos:R:3 pbc="T T T"
Ag -0.5546 2.4922 3.7057
Zn -0.4791 -0.8426 2.6648
Zn 1.5831 2.1463 0.9633
F -1.6585 1.1885 0.0776
Ca 0.0000 0.0000 0.0000
```

=====

3.
A crystal of Ti2CdCl relaxed with PBEsol, computed with meta-GGA SCAN.

Output
Total magnetization: 1.42 μB per cell
V: 68.6 Å³ per cell
Space group: No. 225
Final energy: -69.775 eV per cell

extended XYZ file:
```
4
Lattice="-0.5163 4.5001 -0.7706 -4.2090 1.7832 -0.4640 -1.7216 2.7108 3.2861" Properties=species:S:1:pos:R:3 pbc="T T T"
Ti -4.8352 6.7456 1.5387
Ti -1.6117 2.2485 0.5129
Cd -3.2235 4.4971 1.0258
Cl 0.0000 0.0000 0.0000
```

=====

4.
A crystal of LiTlFe relaxed with PBEsol, computed with meta-GGA SCAN.

Output
Energy of formation from the pure elements: 0.423 eV per atom
Total magnetization: 3.15 μB per cell
V: 58.8 Å³ per cell
Space group: No. 216
Final energy: -91.607 eV per cell

extended XYZ file:
```
3
Lattice="-1.5603 -0.1644 -4.0733 -4.1208 -1.2524 -0.7098 -2.9704 2.9140 -1.3186" Properties=species:S:1:pos:R:3 pbc="T T T"
Fe 0.0000 0.0000 0.0000
Li -4.3257 0.7486 -3.0508
Tl -2.1629 0.3743 -1.5254
```

=====

5.
A crystal of RbGe2TeW relaxed with PBEsol, computed with meta-GGA SCAN.

Output
Total magnetization: 2.79 μB per cell
V: 142.6 Å³ per cell
Space group: No. 123
Final energy: -151.849 eV per cell

extended XYZ file:
```
5
Lattice="-2.7146 3.3405 -2.5512 -3.6777 -0.0335 3.8693 2.5661 3.9743 2.4734" Properties=species:S:1:pos:R:3 pbc="T T T"
Rb 0.0000 0.0000 0.0000
W -1.3573 1.6702 -1.2756
Ge 1.2831 1.9872 1.2367
Ge -1.8388 -0.0167 1.9347
Te -1.9131 3.6407 1.8957
```

=====

6.
A crystal of ScBr2 relaxed with PBEsol, computed with meta-GGA SCAN.

Output
Total magnetization: 4.17 μB per cell
V: 160.2 Å³ per cell
Space group: No. 227
Final energy: -105.248 eV per cell

extended XYZ file:
```
6
Lattice="-1.0195 -0.0557 -6.0105 2.7770 -4.1271 -3.5247 -3.2199 -4.5311 -2.5038" Properties=species:S:1:pos:R:3 pbc="T T T"
Br -0.6925 -1.1171 -4.5101
Br 1.2057 -3.1528 -3.2672
Br -0.1828 -1.0893 -1.5049
Br -1.7927 -3.3548 -2.7568
Sc -0.7312 -4.3570 -6.0195
Sc -1.0968 -6.5355 -9.0292
```

=====

7.
A crystal of Fe2NiSe relaxed with PBEsol, computed with meta-GGA SCAN.

Output
Total magnetization: 6.23 μB per cell
V: 48.4 Å³ per cell
Space group: No. 71
Final energy: -72.205 eV per cell

extended XYZ file:
```
4
Lattice="3.2818 0.0000 0.0000 0.0000 3.7812 0.0000 -1.6409 -1.8906 3.8972" Properties=species:S:1:pos:R:3 pbc="T T T"
Fe 1.6409 1.8906 1.8929
Fe 0.0000 0.0000 2.0043
Se 0.0000 1.8906 0.0000
Ni 1.6409 0.0000 0.0000
```

=====

8.
A crystal of BeCuOF2 relaxed with PBEsol, computed with meta-GGA SCAN.

Output
Total magnetization: 0.00 μB per cell
V: 54.0 Å³ per cell
Space group: No. 123
Final energy: -36.496 eV per cell

extended XYZ file:
```
5
Lattice="3.7592 0.0000 0.0000 0.0000 3.7592 0.0000 0.0000 0.0000 3.8230" Properties=species:S:1:pos:R:3 pbc="T T T"
F 0.0000 1.8796 0.0000
F 1.8796 0.0000 0.0000
Be 1.8796 1.8796 1.9115
Cu 0.0000 0.0000 0.0000
O 0.0000 0.0000 1.9115
```

=====

9.
A crystal of TiMnSn2 relaxed with PBEsol, computed with meta-GGA SCAN.

Output
Energy of formation from the pure elements: -0.034 eV per atom
Total magnetization: 1.48 μB per cell
V: 72.1 Å³ per cell
Space group: No. 225
Final energy: -106.263 eV per cell

extended XYZ file:
```
4
Lattice="-0.1737 -0.3356 4.6562 3.8919 -0.8946 2.4241 1.9159 3.3322 2.6550" Properties=species:S:1:pos:R:3 pbc="T T T"
Sn 1.4085 0.5255 2.4339
Sn 4.2255 1.5766 7.3016
Ti 0.0000 0.0000 0.0000
Mn 2.8170 1.0510 4.8677
```

=====

10.
A crystal of LiOs2Au relaxed with PBEsol, computed with meta-GGA SCAN.

Output
Energy of formation from the pure elements: 0.321 eV per atom
Total magnetization: 0.00 μB per cell
V: 57.8 Å³ per cell
Space group: No. 47
Final energy: -214.023 eV per cell
ΔE to the lowest computed polymorph: 167.0 meV/atom

extended XYZ file:
```
4
Lattice="2.7354 0.0000 0.0000 0.0000 4.4523 0.0000 0.0000 0.0000 4.7453" Properties=species:S:1:pos:R:3 pbc="T T T"
Os 0.0000 0.0000 0.0000
Os 1.3677 2.2262 0.0000
Au 1.3677 0.0000 2.3726
Li 0.0000 2.2262 2.3726
```

=====

11.
A crystal of Zn3As2O8 relaxed with PBEsol, computed with meta-GGA SCAN.

Output
Total magnetization: 0.00 μB per cell
V: 347.4 Å³ per cell
Space group: No. 14
Final energy: -300.578 eV per cell

extended XYZ file:
```
26
Lattice="-0.3500 -5.1481 1.2347 7.6829 0.7054 1.0833 -1.3303 2.0354 8.1096" Properties=species:S:1:pos:R:3 pbc="T T T"
Zn 2.2021 -3.6532 4.4578
Zn -0.8402 -1.5563 4.6721
Zn 3.8415 0.3527 0.5416
Zn -0.5080 -1.2340 7.8254
Zn 6.5106 -1.1733 2.6022
Zn 3.8005 1.2460 5.9697
O 6.8795 0.4506 4.2044
O 3.3677 -2.2258 8.2087
O 6.1603 -2.1870 4.2378
O 4.8162 -0.4022 6.4381
O 0.4740 -2.8307 8.4991
O 3.1578 -2.9271 2.4830
O 3.9818 -3.4157 5.3655
O 2.8448 0.5199 7.9445
O -0.1577 -0.2203 6.1898
O 1.1864 -2.0050 3.9894
O 2.0208 1.0084 5.0620
O 5.5286 0.4234 1.9284
O 5.1920 -0.4552 9.2403
O 0.8106 -1.9521 1.1872
O 2.6349 -0.1815 2.2188
O -0.8769 -2.8579 6.2231
As 0.5471 1.3057 5.8851
As 1.9414 -1.7247 2.4550
As 5.4555 -3.7130 4.5425
As 4.0612 -0.6826 7.9725
```

=====

12.
A crystal of CoRh relaxed with PBEsol, computed with meta-GGA SCAN.

Output
Energy of formation from the pure elements: 0.047 eV per atom
Total magnetization: 8.28 μB per cell
V: 71.8 Å³ per cell
Space group: No. 65
Final energy: -152.945 eV per cell

extended XYZ file:
```
6
Lattice="-0.0022 -3.4154 -1.1048 3.4762 0.3073 -0.9569 1.5364 0.0714 5.6043" Properties=species:S:1:pos:R:3 pbc="T T T"
Co 1.0232 -1.0907 3.3666
Co 0.5111 -2.2533 1.1330
Co 1.7370 -1.5540 -1.0308
Rh 2.7605 -2.6447 2.3370
Rh 0.0000 0.0000 0.0000
Rh 2.2499 -0.3920 1.2056
```

=====

13.
A crystal of Zr2ScRh relaxed with PBEsol, computed with meta-GGA SCAN.

Output
Energy of formation from the pure elements: -0.512 eV per atom
Total magnetization: 0.00 μB per cell
V: 77.5 Å³ per cell
Space group: No. 71
Final energy: -111.455 eV per cell

extended XYZ file:
```
4
Lattice="3.3401 0.0000 0.0000 0.0000 4.7919 0.0000 -1.6701 -2.3959 4.8421" Properties=species:S:1:pos:R:3 pbc="T T T"
Rh 0.0000 2.3959 0.0000
Zr 1.6701 2.3959 2.1506
Zr 0.0000 0.0000 2.6914
Sc 1.6701 0.0000 0.0000
```

=====

14.
A crystal of LaCuB2 relaxed with PBEsol, computed with meta-GGA SCAN.

Output
Energy of formation from the pure elements: 0.736 eV per atom
Total magnetization: 0.00 μB per cell
V: 56.5 Å³ per cell
Space group: No. 225
Final energy: -70.221 eV per cell

extended XYZ file:
```
4
Lattice="-1.4701 -3.1804 -2.5066 2.3541 -3.5641 -0.5605 -1.2704 -3.7199 1.7628" Properties=species:S:1:pos:R:3 pbc="T T T"
B -0.2898 -7.8483 -0.9782
B -0.0966 -2.6161 -0.3261
Cu 0.0000 0.0000 0.0000
La -0.1932 -5.2322 -0.6521
```

=====

15.
A crystal of BaLa2Cu2 relaxed with PBEsol, computed with meta-GGA SCAN.

Output
Energy of formation from the pure elements: 0.121 eV per atom
Total magnetization: 0.00 μB per cell
V: 148.6 Å³ per cell
Space group: No. 139
Final energy: -155.554 eV per cell

extended XYZ file:
```
5
Lattice="5.2257 0.0000 0.0000 0.0000 5.2257 0.0000 -2.6128 -2.6128 5.4401" Properties=species:S:1:pos:R:3 pbc="T T T"
Cu 0.0000 2.6128 2.7201
Cu 2.6128 0.0000 2.7201
La 0.0000 0.0000 3.8453
La 2.6128 2.6128 1.5948
Ba 0.0000 0.0000 0.0000
```

=====

16.
A crystal of Li2TlSb relaxed with PBEsol, computed with meta-GGA SCAN.

Output
Total magnetization: 0.00 μB per cell
V: 84.8 Å³ per cell
Space group: No. 8
Final energy: -115.814 eV per cell

extended XYZ file:
```
4
Lattice="-1.2237 -1.7748 2.7124 1.1656 -4.1253 -2.1735 5.0542 1.6009 1.1149" Properties=species:S:1:pos:R:3 pbc="T T T"
Sb 0.1453 -3.1761 0.2002
Tl 1.7933 -1.3360 2.1478
Li 2.9543 -2.5494 -0.3353
Li 0.0740 -0.1876 -0.0894
```

=====

17.
A crystal of AlCoSe2 relaxed with PBEsol, computed with meta-GGA SCAN.

Output
Total magnetization: 1.78 μB per cell
V: 62.4 Å³ per cell
Space group: No. 123
Final energy: -64.135 eV per cell

extended XYZ file:
```
4
Lattice="-0.2315 -3.0526 -0.2321 1.9368 0.0342 -2.3819 5.1148 -0.7034 4.1489" Properties=species:S:1:pos:R:3 pbc="T T T"
Se 3.6939 -0.5080 2.9964
Se 1.4208 -0.1954 1.1525
Al 0.8526 -1.5092 -1.3070
Co 3.4100 -1.8609 0.7675
```

=====

18.
A crystal of MgTl2Sn relaxed with PBEsol, computed with meta-GGA SCAN.

Output
Energy of formation from the pure elements: 0.061 eV per atom
Total magnetization: 0.00 μB per cell
V: 104.9 Å³ per cell
Space group: No. 225
Final energy: -185.368 eV per cell

extended XYZ file:
```
4
Lattice="-0.9699 3.7740 -3.5821 -4.9515 1.7008 -0.7778 -1.4114 4.8499 1.5815" Properties=species:S:1:pos:R:3 pbc="T T T"
Tl -5.4997 7.7436 -2.0837
Tl -1.8332 2.5812 -0.6946
Sn -3.6664 5.1624 -1.3892
Mg 0.0000 0.0000 0.0000
```

=====

19.
A crystal of ZrNbSe2N relaxed with PBEsol, computed with meta-GGA SCAN.

Output
Total magnetization: 0.33 μB per cell
V: 98.1 Å³ per cell
Space group: No. 123
Final energy: -114.644 eV per cell

extended XYZ file:
```
5
Lattice="-3.2002 -1.1492 1.7718 2.5269 -3.8728 2.0521 1.1746 2.8805 3.9898" Properties=species:S:1:pos:R:3 pbc="T T T"
Zr 0.2506 -1.0708 3.9069
Nb 0.0000 0.0000 0.0000
Se 1.2634 -1.9364 1.0260
Se 0.5873 1.4402 1.9949
N -1.6001 -0.5746 0.8859
```

=====

20.
A crystal of CoSnPbW2 relaxed with PBEsol, computed with meta-GGA SCAN.

Output
Energy of formation from the pure elements: 1.372 eV per atom
Total magnetization: 0.00 μB per cell
V: 97.6 Å³ per cell
Space group: No. 123
Final energy: -261.524 eV per cell

extended XYZ file:
```
5
Lattice="4.5964 0.0000 0.0000 0.0000 4.5964 0.0000 0.0000 0.0000 4.6199" Properties=species:S:1:pos:R:3 pbc="T T T"
W 0.0000 2.2982 0.0000
W 2.2982 0.0000 0.0000
Pb 2.2982 2.2982 2.3099
Sn 0.0000 0.0000 2.3099
Co 0.0000 0.0000 0.0000
```